## TaBrF2 (PBE)

Data for a relaxed structure of TaBrF2.

## Properties
- Energy above the most stable polymorph in this dataset: 0.000 eV per atom
- Formation energy (no corrections): -1.436 eV/atom
- Magnetization: 0.0 μB per formula unit

Cell: 3.0643 3.0643 32.0562 Å, 90.00 90.00 120.00°
Space group R-3m (No. 166, hexagonal axes)
Unique sites:
Ta 0.0000 0.0000 0.0000 x3
Br 0.0000 0.0000 0.5000 x3
F 0.0000 0.0000 0.0585 x6